Entry from the Alexandria database: a relaxed CaCrSi2O6 crystal (GGA+U).

As for the density: 3154 kg/m3. Its energy above the lowest structure with this stoichiometry is 0.014 eV per atom. For the total energy, the calculation gives -7.652 eV per atom.

It has space group Pbca (No. 61), with a = 5.4919 Å, b = 19.3447 Å, c = 9.6830 Å, α = 90.00°, β = 90.00° and γ = 90.00°. The inequivalent atoms are Ca at (0.1102, 0.1243, 0.1461), Cr at (0.1178, 0.1255, 0.5270), Si at (0.0793, 0.7237, 0.6698), Si at (0.2392, 0.5187, 0.8368), O at (0.0162, 0.5374, 0.7251), O at (0.0588, 0.6933, 0.1679), O at (0.0742, 0.6849, 0.5221), O at (0.1413, 0.1938, 0.7235), O at (0.1906, 0.5668, 0.9702) and O at (0.2397, 0.0655, 0.3587).